Here is a relaxed structure of In3Ni5I12 from Alexandria. Energies are from PBE.

a = 15.140 Å, b = 15.140 Å, c = 15.140 Å
α = 109.47°, β = 109.47°, γ = 109.47°
Atoms (fractional coordinates):
In1 0.750 0.375 0.125
In2 0.875 0.750 0.125
In3 0.375 0.750 0.625
In4 0.250 0.125 0.375
In5 0.875 0.125 0.250
In6 0.375 0.625 0.250
In7 0.625 0.375 0.750
In8 0.125 0.875 0.750
In9 0.750 0.875 0.625
In10 0.625 0.250 0.375
In11 0.125 0.250 0.875
In12 0.250 0.625 0.875
Ni1 0.125 0.375 0.250
Ni2 0.000 0.500 0.000
Ni3 0.000 0.000 0.000
Ni4 0.375 0.250 0.125
Ni5 0.500 0.000 0.500
Ni6 0.500 0.500 0.000
Ni7 0.125 0.750 0.375
Ni8 0.750 0.125 0.875
Ni9 0.750 0.625 0.375
Ni10 0.375 0.125 0.750
Ni11 0.625 0.875 0.250
Ni12 0.500 0.500 0.500
Ni13 0.500 0.000 0.000
Ni14 0.000 0.000 0.500
Ni15 0.250 0.375 0.625
Ni16 0.250 0.875 0.125
Ni17 0.000 0.500 0.500
Ni18 0.875 0.250 0.625
Ni19 0.625 0.750 0.875
Ni20 0.875 0.625 0.750
I1 0.695 0.113 0.015
I2 0.319 0.515 0.402
I3 0.985 0.387 0.305
I4 0.515 0.195 0.113
I5 0.583 0.695 0.681
I6 0.985 0.598 0.181
I7 0.319 0.805 0.417
I8 0.098 0.917 0.113
I9 0.598 0.985 0.681
I10 0.695 0.583 0.181
I11 0.805 0.485 0.387
I12 0.819 0.902 0.015
I13 0.113 0.695 0.515
I14 0.387 0.402 0.083
I15 0.083 0.902 0.387
I16 0.417 0.113 0.598
I17 0.083 0.181 0.195
I18 0.485 0.681 0.098
I19 0.819 0.917 0.305
I20 0.113 0.417 0.098
I21 0.387 0.985 0.805
I22 0.598 0.613 0.417
I23 0.902 0.819 0.515
I24 0.805 0.319 0.917
I25 0.402 0.387 0.583
I26 0.098 0.181 0.485
I27 0.195 0.681 0.083
I28 0.181 0.083 0.695
I29 0.613 0.015 0.195
I30 0.887 0.583 0.902
I31 0.515 0.319 0.902
I32 0.583 0.887 0.402
I33 0.917 0.819 0.805
I34 0.917 0.098 0.613
I35 0.887 0.305 0.485
I36 0.181 0.098 0.985
I37 0.613 0.598 0.917
I38 0.402 0.015 0.319
I39 0.305 0.417 0.819
I40 0.195 0.515 0.613
I41 0.902 0.083 0.887
I42 0.681 0.195 0.583
I43 0.485 0.805 0.887
I44 0.015 0.402 0.819
I45 0.417 0.305 0.319
I46 0.015 0.613 0.695
I47 0.681 0.485 0.598
I48 0.305 0.887 0.985

- Formation energy (no corrections): -107 meV/atom
- Density of states at the Fermi level: 24.70 states/eV/f.u.